Here is a crystal of Ca11Si4ClO18 relaxed with PBEsol from Alexandria. Energies are from meta-GGA SCAN.

Lattice parameters (Å, degrees): 10.4460 10.4460 8.8059 90.00 90.00 90.00
Last column: nearest neighbours and their distance in Å.
Space group I4/mmm (No. 139)
One atom of each set of equivalent atoms:
Ca1 0.0000 0.0000 0.0000  8 O 2.51
Ca2 0.0000 0.2571 0.2934  4 O 2.29-2.38
Ca3 0.0000 0.5000 0.0000  6 O 2.20-2.37
Si1 0.2115 0.2115 0.0000  4 O 1.65
Cl1 0.0000 0.0000 0.5000  8 Ca 3.24, 8 O 3.59
O1 0.0000 0.5000 0.2500  2 Ca 2.20
O2 0.1336 0.3169 0.5000  1 Si 1.65
O3 0.1443 0.1443 0.1502  1 Si 1.65

Computed properties:
calculated total energy	-375.861	eV/f.u.
raw formation energy	-3.216	eV/atom